Compound: Ba2Al3Zn
Source: Alexandria via LeMat-Bulk
Functional: PBE
Structure: relaxed

The structure in CIF format:
```
data_Ba2Al3Zn
_chemical_formula_sum 'Ba16 Al24 Zn8'
_cell_length_a 9.120
_cell_length_b 10.362
_cell_length_c 15.723
_cell_angle_alpha 90.00
_cell_angle_beta 90.00
_cell_angle_gamma 90.00
_space_group_name_H-M_alt 'F m m m'
_space_group_IT_number 69
_space_group_name_Hall '-F 2 2'
loop_
_atom_site_label
_atom_site_fract_x
_atom_site_fract_y
_atom_site_fract_z
Ba1 0.000 0.247 0.000
Ba2 0.250 0.250 0.250
Al1 0.000 0.000 0.332
Al2 0.250 0.000 0.084
Zn1 0.000 0.000 0.167
```

Computed properties:
- DOS at the Fermi energy (states/eV/f.u.) = 5.6
- relative energy among the computed polymorphs (meV per atom) = 5
- formation energy from the elements (eV/f.u.) = -1.014



Compound: TbCd4Au5
Source: Alexandria via LeMat-Bulk
Functional: PBE
Structure: relaxed

The structure in CIF format:
```
data_TbCd4Au5
_chemical_formula_sum 'Tb1 Cd4 Au5'
_cell_length_a 3.504
_cell_length_b 3.504
_cell_length_c 16.619
_cell_angle_alpha 90.00
_cell_angle_beta 90.00
_cell_angle_gamma 90.00
_space_group_name_H-M_alt 'P 4/m m m'
_space_group_IT_number 123
_space_group_name_Hall '-P 4 2'
loop_
_atom_site_label
_atom_site_fract_x
_atom_site_fract_y
_atom_site_fract_z
Tb1 0.000 0.000 0.000
Cd1 0.000 0.000 0.209
Cd2 0.000 0.000 0.403
Au1 0.500 0.500 0.108
Au2 0.500 0.500 0.307
Au3 0.500 0.500 0.500
```

Computed properties:
- DOS at the Fermi energy (states/eV/f.u.) = 3.2
- formation energy from the elements (eV/f.u.) = -3.367



Compound: HoAs4Pd12
Source: Alexandria via LeMat-Bulk
Functional: PBE
Structure: relaxed

The structure in CIF format:
```
data_HoAs4Pd12
_chemical_formula_sum 'Ho2 As8 Pd24'
_cell_length_a 8.561
_cell_length_b 8.561
_cell_length_c 8.561
_cell_angle_alpha 90.00
_cell_angle_beta 90.00
_cell_angle_gamma 90.00
_space_group_name_H-M_alt 'I m -3'
_space_group_IT_number 204
_space_group_name_Hall '-I 2 2 3'
loop_
_atom_site_label
_atom_site_fract_x
_atom_site_fract_y
_atom_site_fract_z
Ho1 0.000 0.000 0.000
As1 0.250 0.250 0.250
Pd1 0.000 0.162 0.340
```

Computed properties:
- DOS at the Fermi energy (states/eV/f.u.) = 3.7
- formation energy from the elements (eV/f.u.) = -4.550



Compound: NdZn2Ir2
Source: Alexandria via LeMat-Bulk
Functional: PBE
Structure: relaxed

The structure in CIF format:
```
data_NdZn2Ir2
_chemical_formula_sum 'Nd4 Zn8 Ir8'
_cell_length_a 4.068
_cell_length_b 4.068
_cell_length_c 22.374
_cell_angle_alpha 90.00
_cell_angle_beta 90.00
_cell_angle_gamma 90.00
_space_group_name_H-M_alt 'I 4/m m m'
_space_group_IT_number 139
_space_group_name_Hall '-I 4 2'
loop_
_atom_site_label
_atom_site_fract_x
_atom_site_fract_y
_atom_site_fract_z
Nd1 0.000 0.000 0.130
Zn1 0.000 0.000 0.319
Zn2 0.000 0.500 0.000
Ir1 0.000 0.000 0.431
Ir2 0.000 0.500 0.250
```

Computed properties:
- DOS at the Fermi energy (states/eV/f.u.) = 2.0
- formation energy from the elements (eV/f.u.) = -2.067



Compound: Cs2CaPtI6
Source: Alexandria via LeMat-Bulk
Functional: PBE
Structure: relaxed

The structure in CIF format:
```
data_Cs2CaPtI6
_chemical_formula_sum 'Cs4 Ca2 Pt2 I12'
_cell_length_a 8.226
_cell_length_b 8.226
_cell_length_c 13.590
_cell_angle_alpha 90.00
_cell_angle_beta 90.00
_cell_angle_gamma 90.00
_space_group_name_H-M_alt 'I 4/m m m'
_space_group_IT_number 139
_space_group_name_Hall '-I 4 2'
loop_
_atom_site_label
_atom_site_fract_x
_atom_site_fract_y
_atom_site_fract_z
Cs1 0.000 0.500 0.250
Ca1 0.000 0.000 0.000
Pt1 0.000 0.000 0.500
I1 0.000 0.000 0.222
I2 0.227 0.227 0.500
```

Computed properties:
- formation energy without anion corrections (kcal/mol of atoms) = -24.10
- DOS at the Fermi energy (states/eV/f.u.) = 0.0



Compound: Na2Tl2Se3
Source: Alexandria via LeMat-Bulk
Functional: PBE
Structure: relaxed

The structure in CIF format:
```
data_Na2Tl2Se3
_chemical_formula_sum 'Na4 Tl4 Se6'
_cell_length_a 14.758
_cell_length_b 4.306
_cell_length_c 7.421
_cell_angle_alpha 90.00
_cell_angle_beta 106.33
_cell_angle_gamma 90.00
_space_group_name_H-M_alt 'C 1 2/m 1'
_space_group_IT_number 12
_space_group_name_Hall '-C 2y'
loop_
_atom_site_label
_atom_site_fract_x
_atom_site_fract_y
_atom_site_fract_z
Na1 0.120 0.000 0.395
Tl1 0.155 0.500 0.822
Se1 0.000 0.500 0.500
Se2 0.216 0.500 0.224
```

Computed properties:
- formation energy without anion corrections (kcal/mol of atoms) = -14.12



Compound: ScCuMo2
Source: Alexandria via LeMat-Bulk
Functional: PBE
Structure: relaxed

The structure in CIF format:
```
data_ScCuMo2
_chemical_formula_sum 'Sc1 Cu1 Mo2'
_cell_length_a 2.706
_cell_length_b 4.594
_cell_length_c 5.325
_cell_angle_alpha 90.00
_cell_angle_beta 90.00
_cell_angle_gamma 90.00
_space_group_name_H-M_alt 'P m m m'
_space_group_IT_number 47
_space_group_name_Hall '-P 2 2'
loop_
_atom_site_label
_atom_site_fract_x
_atom_site_fract_y
_atom_site_fract_z
Sc1 0.000 0.000 0.000
Cu1 0.000 0.000 0.500
Mo1 0.500 0.500 0.243
```

Computed properties:
- DOS at the Fermi energy (states/eV/f.u.) = 3.9
- relative energy among the computed polymorphs (meV per atom) = 283
- formation energy from the elements (eV/f.u.) = 1.291



Compound: Tb8Te3PSe3
Source: Alexandria via LeMat-Bulk
Functional: PBE
Structure: relaxed

The structure in CIF format:
```
data_Tb8Te3PSe3
_chemical_formula_sum 'Tb24 Te9 P3 Se9'
_cell_length_a 8.3239
_cell_length_b 8.3239
_cell_length_c 21.0028
_cell_angle_alpha 90.00
_cell_angle_beta 90.00
_cell_angle_gamma 120.00
_space_group_name_H-M_alt 'R -3 m'
_space_group_IT_number 166
_space_group_name_Hall '-R 3 2"'
loop_
_atom_site_label
_atom_site_fract_x
_atom_site_fract_y
_atom_site_fract_z
Tb1 0.0000 0.0000 0.2385
Tb2 0.0143 0.5071 0.2385
Te1 0.0000 0.5000 0.0000
P1 0.0000 0.0000 0.5000
Se1 0.0000 0.5000 0.5000
```

Computed properties:
- formation energy without anion corrections (kcal/mol of atoms) = -33.52
- DOS at the Fermi energy (states/eV/f.u.) = 7.2



Please write out number 6 again, unchanged.
Compound: Na2Tl2Se3
Source: Alexandria via LeMat-Bulk
Functional: PBE
Structure: relaxed

The structure in CIF format:
```
data_Na2Tl2Se3
_chemical_formula_sum 'Na4 Tl4 Se6'
_cell_length_a 14.758
_cell_length_b 4.306
_cell_length_c 7.421
_cell_angle_alpha 90.00
_cell_angle_beta 106.33
_cell_angle_gamma 90.00
_space_group_name_H-M_alt 'C 1 2/m 1'
_space_group_IT_number 12
_space_group_name_Hall '-C 2y'
loop_
_atom_site_label
_atom_site_fract_x
_atom_site_fract_y
_atom_site_fract_z
Na1 0.120 0.000 0.395
Tl1 0.155 0.500 0.822
Se1 0.000 0.500 0.500
Se2 0.216 0.500 0.224
```

Computed properties:
- formation energy without anion corrections (kcal/mol of atoms) = -14.12